[1]
Below is a relaxed SmHo2Cu2Ge2 crystal, with properties calculated at the PBE level.

Cell lengths 4.2910, 4.2910, 28.1683 Å; angles 90.00, 90.00, 120.00 degrees
Space group R-3m (No. 166, hexagonal axes)
Inequivalent atoms, fractional coordinates:
Sm  0.0000  0.0000  0.0000 x3
Ho  0.0000  0.0000  0.1265 x6
Cu  0.0000  0.0000  0.4016 x6
Ge  0.0000  0.0000  0.2622 x6

Computed properties:
The formation enthalpy at 0 K comes out at -491 meV/atom.

---

[2]
Below is a relaxed Pu8PPt5 crystal, with properties calculated at the PBE level.

Cell lengths 8.7033, 8.7033, 8.5551 Å; angles 90.00, 90.00, 90.00 degrees
Space group I-4 (No. 82)
Inequivalent atoms, fractional coordinates:
Pu  0.0633  0.1762  0.2935 x8
Pu  0.0718  0.3186  0.9428 x8
P  0.0000  0.0000  0.0000 x2
Pt  0.0000  0.5000  0.2500 x2
Pt  0.1257  0.2515  0.6186 x8

Computed properties:
The formation enthalpy at 0 K comes out at -662 meV/atom.

---

[3]
Below is a relaxed K2HoI6 crystal, with properties calculated at the PBE level.

Cell lengths 4.0669, 19.2394, 9.4525 Å; angles 90.00, 90.00, 90.00 degrees
Space group Amm2 (No. 38)
Inequivalent atoms, fractional coordinates:
K  0.0000  0.1588  0.0000 x4
Ho  0.5000  0.0000  0.4597 x2
I  0.0000  0.0000  0.7119 x2
I  0.0000  0.1126  0.3813 x4
I  0.5000  0.0000  0.1056 x2
I  0.5000  0.2180  0.7094 x4

Computed properties:
The formation energy (no corrections) is -1.136 eV per atom.

---

[4]
Below is a relaxed TaTiAs2 crystal, with properties calculated at the PBE level.

Cell lengths 5.7939, 5.7939, 11.5264 Å; angles 90.00, 90.00, 90.00 degrees
Space group I-42d (No. 122)
Inequivalent atoms, fractional coordinates:
Ta  0.0000  0.0000  0.0000 x4
Ti  0.0000  0.0000  0.5000 x4
As  0.2486  0.2500  0.6250 x8

Computed properties:
The value obtained for the energy above the lowest structure with this stoichiometry is 754 meV/atom. The formation enthalpy at 0 K comes out at 92 meV/atom.

---

Repeat the third record exactly.
Below is a relaxed K2HoI6 crystal, with properties calculated at the PBE level.

Cell lengths 4.0669, 19.2394, 9.4525 Å; angles 90.00, 90.00, 90.00 degrees
Space group Amm2 (No. 38)
Inequivalent atoms, fractional coordinates:
K  0.0000  0.1588  0.0000 x4
Ho  0.5000  0.0000  0.4597 x2
I  0.0000  0.0000  0.7119 x2
I  0.0000  0.1126  0.3813 x4
I  0.5000  0.0000  0.1056 x2
I  0.5000  0.2180  0.7094 x4

Computed properties:
The formation energy (no corrections) is -1.136 eV per atom.